## Li2VCrO4 (PBE+U)

Data for crystalline Li2VCrO4 at its relaxed geometry.

a = 5.151 Å, b = 5.151 Å, c = 5.209 Å
α = 80.87°, β = 80.87°, γ = 33.52°
Site moments in Bohr magnetons follow the coordinates.
Fractional coordinates of all 8 atoms:
1 Li 0.748 0.748 0.259  -0.01
2 Li 0.252 0.252 0.741  -0.01
3 O 0.113 0.113 0.134  -0.02
4 O 0.614 0.614 0.626  -0.01
5 O 0.887 0.887 0.866  -0.02
6 O 0.386 0.386 0.374  -0.01
7 Cr 0.000 0.000 0.500  3.01
8 V 0.500 0.500 0.000  1.91

Calculated values
- calculated volume (Å³/cell) = 75
- crystal system = monoclinic
- size of the total moment (μB/atom) = 0.62
- E above lowest polymorph (eV per atom) = 0.000